1.
! TbHoIn2Pt4 (GGA-PBE, relaxed); values from VASP
! - SG = No. 187
&SYSTEM
  ibrav = 0, nat = 8, ntyp = 4
/
ATOMIC_SPECIES
Ho 164.93 Ho.upf
In 114.82 In.upf
Pt 195.08 Pt.upf
Tb 158.93 Tb.upf
CELL_PARAMETERS angstrom
4.577 0.000 0.000
-2.289 3.964 0.000
0.000 0.000 9.031
ATOMIC_POSITIONS crystal
Ho 0.000 0.000 0.000
In 0.667 0.333 0.249
In 0.667 0.333 0.751
Pt 0.333 0.667 0.157
Pt 0.000 0.000 0.341
Pt 0.000 0.000 0.659
Pt 0.333 0.667 0.843
Tb 0.333 0.667 0.500

2.
! Ho2TmIn3Pt2 (GGA-PBE, relaxed); values from VASP
! - SG = No. 38
&SYSTEM
  ibrav = 0, nat = 8, ntyp = 4
/
ATOMIC_SPECIES
Ho 164.93 Ho.upf
In 114.82 In.upf
Pt 195.08 Pt.upf
Tm 168.93 Tm.upf
CELL_PARAMETERS angstrom
-2.737 -2.177 0.874
0.986 1.737 7.413
-4.739 4.221 -4.321
ATOMIC_POSITIONS crystal
Ho 0.000 0.579 0.000
Ho 0.000 0.000 0.579
In 0.500 0.231 0.001
In 0.500 0.001 0.231
In 0.500 0.769 0.769
Pt 0.500 0.665 0.334
Pt 0.500 0.334 0.665
Tm 0.000 0.422 0.422

3.
! HoTmIn4Pt2 (GGA-PBE, relaxed); values from VASP
! - SG = No. 38
&SYSTEM
  ibrav = 0, nat = 8, ntyp = 4
/
ATOMIC_SPECIES
Ho 164.93 Ho.upf
In 114.82 In.upf
Pt 195.08 Pt.upf
Tm 168.93 Tm.upf
CELL_PARAMETERS angstrom
-6.706 -0.039 3.158
0.689 -5.486 1.396
2.162 -2.661 4.557
ATOMIC_POSITIONS crystal
Ho 0.000 0.076 0.076
In 0.203 0.364 0.364
In 0.797 0.364 0.364
In 0.298 0.636 0.636
In 0.702 0.636 0.636
Pt 0.500 0.206 0.206
Pt 0.000 0.793 0.793
Tm 0.500 0.924 0.924

4.
! Y2HoIn3Pt2 (GGA-PBE, relaxed); values from VASP
! - SG = No. 38
&SYSTEM
  ibrav = 0, nat = 8, ntyp = 4
/
ATOMIC_SPECIES
Ho 164.93 Ho.upf
In 114.82 In.upf
Pt 195.08 Pt.upf
Y 88.91 Y.upf
CELL_PARAMETERS angstrom
-1.305 -2.898 -1.769
7.114 -2.915 -0.472
-4.450 -1.691 6.055
ATOMIC_POSITIONS crystal
Ho 0.000 0.421 0.421
In 0.500 0.231 0.001
In 0.500 0.001 0.231
In 0.500 0.769 0.769
Pt 0.500 0.664 0.334
Pt 0.500 0.334 0.664
Y 0.000 0.580 0.000
Y 0.000 0.000 0.580

5.
! YHoIn2Pt4 (GGA-PBE, relaxed); values from VASP
! - SG = No. 187
&SYSTEM
  ibrav = 0, nat = 8, ntyp = 4
/
ATOMIC_SPECIES
Ho 164.93 Ho.upf
In 114.82 In.upf
Pt 195.08 Pt.upf
Y 88.91 Y.upf
CELL_PARAMETERS angstrom
-1.840 -1.512 -3.914
4.545 0.453 0.370
0.600 -8.473 2.991
ATOMIC_POSITIONS crystal
Ho 0.000 0.000 0.000
In 0.333 0.667 0.250
In 0.333 0.667 0.750
Pt 0.667 0.333 0.157
Pt 0.000 0.000 0.340
Pt 0.000 0.000 0.660
Pt 0.667 0.333 0.843
Y 0.667 0.333 0.500

6.
! RbHoInSe3 (GGA-PBE, relaxed); values from VASP
! - SG = No. 63
&SYSTEM
  ibrav = 0, nat = 12, ntyp = 4
/
ATOMIC_SPECIES
Ho 164.93 Ho.upf
In 114.82 In.upf
Rb 85.47 Rb.upf
Se 78.96 Se.upf
CELL_PARAMETERS angstrom
2.109 -7.999 0.000
2.109 7.999 0.000
0.000 0.000 11.655
ATOMIC_POSITIONS crystal
Ho 0.000 0.000 0.000
Ho 0.000 0.000 0.500
In 0.418 0.582 0.250
In 0.582 0.418 0.750
Rb 0.717 0.283 0.250
Rb 0.283 0.717 0.750
Se 0.378 0.622 0.018
Se 0.031 0.969 0.250
Se 0.378 0.622 0.482
Se 0.622 0.378 0.518
Se 0.969 0.031 0.750
Se 0.622 0.378 0.982

7.
! RbHoInTe3 (GGA-PBE, relaxed); values from VASP
! - SG = No. 63
&SYSTEM
  ibrav = 0, nat = 12, ntyp = 4
/
ATOMIC_SPECIES
Ho 164.93 Ho.upf
In 114.82 In.upf
Rb 85.47 Rb.upf
Te 127.60 Te.upf
CELL_PARAMETERS angstrom
-5.483 5.962 2.857
4.001 -3.813 -6.575
-9.192 -7.994 -0.957
ATOMIC_POSITIONS crystal
Ho 0.500 0.500 0.000
Ho 0.500 0.500 0.500
In 0.942 0.058 0.250
In 0.058 0.942 0.750
Rb 0.247 0.753 0.250
Rb 0.753 0.247 0.750
Te 0.873 0.127 0.026
Te 0.555 0.445 0.250
Te 0.873 0.127 0.474
Te 0.127 0.873 0.526
Te 0.445 0.555 0.750
Te 0.127 0.873 0.974

8.
! Ho4In5S13 (GGA-PBE, relaxed); values from VASP
! - SG = No. 55
&SYSTEM
  ibrav = 0, nat = 44, ntyp = 3
/
ATOMIC_SPECIES
Ho 164.93 Ho.upf
In 114.82 In.upf
S 32.06 S.upf
CELL_PARAMETERS angstrom
11.888 0.000 0.000
0.000 21.485 0.000
0.000 0.000 3.847
ATOMIC_POSITIONS crystal
Ho 0.322 0.160 0.000
Ho 0.982 0.175 0.000
Ho 0.482 0.325 0.000
Ho 0.822 0.340 0.000
Ho 0.178 0.660 0.000
Ho 0.518 0.675 0.000
Ho 0.018 0.825 0.000
Ho 0.678 0.840 0.000
In 0.500 0.000 0.000
In 0.000 0.500 0.000
In 0.153 0.008 0.500
In 0.659 0.168 0.500
In 0.159 0.332 0.500
In 0.653 0.492 0.500
In 0.347 0.508 0.500
In 0.841 0.668 0.500
In 0.341 0.832 0.500
In 0.847 0.992 0.500
S 0.000 0.000 0.000
S 0.296 0.028 0.000
S 0.665 0.240 0.000
S 0.165 0.260 0.000
S 0.796 0.472 0.000
S 0.500 0.500 0.000
S 0.204 0.528 0.000
S 0.835 0.740 0.000
S 0.335 0.760 0.000
S 0.704 0.972 0.000
S 0.497 0.093 0.500
S 0.848 0.115 0.500
S 0.147 0.136 0.500
S 0.415 0.237 0.500
S 0.915 0.263 0.500
S 0.647 0.364 0.500
S 0.348 0.385 0.500
S 0.997 0.407 0.500
S 0.003 0.593 0.500
S 0.652 0.615 0.500
S 0.353 0.636 0.500
S 0.085 0.737 0.500
S 0.585 0.763 0.500
S 0.853 0.864 0.500
S 0.152 0.885 0.500
S 0.503 0.907 0.500

9.
! Ho3InS6 (GGA-PBE, relaxed); values from VASP
! - SG = No. 18
&SYSTEM
  ibrav = 0, nat = 40, ntyp = 3
/
ATOMIC_SPECIES
Ho 164.93 Ho.upf
In 114.82 In.upf
S 32.06 S.upf
CELL_PARAMETERS angstrom
13.413 0.000 0.000
0.000 16.509 0.000
0.000 0.000 3.842
ATOMIC_POSITIONS crystal
Ho 0.252 0.110 0.238
Ho 0.748 0.890 0.238
Ho 0.692 0.144 0.248
Ho 0.308 0.856 0.248
Ho 0.465 0.275 0.250
Ho 0.535 0.725 0.250
Ho 0.965 0.225 0.750
Ho 0.035 0.775 0.750
Ho 0.192 0.356 0.752
Ho 0.808 0.644 0.752
Ho 0.752 0.390 0.762
Ho 0.248 0.610 0.762
In 0.000 0.000 0.143
In 0.000 0.500 0.254
In 0.500 0.000 0.746
In 0.500 0.500 0.857
S 0.480 0.105 0.246
S 0.520 0.895 0.246
S 0.893 0.118 0.248
S 0.107 0.882 0.248
S 0.116 0.256 0.250
S 0.884 0.744 0.250
S 0.194 0.480 0.254
S 0.806 0.520 0.254
S 0.821 0.284 0.258
S 0.179 0.716 0.258
S 0.602 0.408 0.268
S 0.398 0.592 0.268
S 0.102 0.092 0.732
S 0.898 0.908 0.732
S 0.321 0.216 0.742
S 0.679 0.784 0.742
S 0.694 0.020 0.746
S 0.306 0.980 0.746
S 0.616 0.244 0.750
S 0.384 0.756 0.750
S 0.393 0.382 0.752
S 0.607 0.618 0.752
S 0.980 0.395 0.754
S 0.020 0.605 0.754

10.
! HoZnInS3 (GGA-PBE, relaxed); values from VASP
! - SG = No. 62
! - excess energy over the best structure of this formula in the dataset (kJ/mol of atoms) = 4.4
&SYSTEM
  ibrav = 0, nat = 24, ntyp = 4
/
ATOMIC_SPECIES
Ho 164.93 Ho.upf
In 114.82 In.upf
S 32.06 S.upf
Zn 65.41 Zn.upf
CELL_PARAMETERS angstrom
-0.827 11.095 1.623
-3.196 -0.594 2.432
7.231 -0.822 9.302
ATOMIC_POSITIONS crystal
Ho 0.477 0.500 0.170
Ho 0.977 0.500 0.330
Ho 0.023 0.000 0.670
Ho 0.523 0.000 0.830
In 0.162 0.000 0.014
In 0.662 0.000 0.486
In 0.338 0.500 0.514
In 0.838 0.500 0.986
S 0.601 0.000 0.060
S 0.958 0.000 0.173
S 0.226 0.500 0.198
S 0.726 0.500 0.302
S 0.458 0.000 0.327
S 0.101 0.000 0.440
S 0.899 0.500 0.560
S 0.542 0.500 0.673
S 0.274 0.000 0.698
S 0.774 0.000 0.802
S 0.042 0.500 0.827
S 0.399 0.500 0.940
Zn 0.752 0.000 0.195
Zn 0.252 0.000 0.305
Zn 0.748 0.500 0.695
Zn 0.248 0.500 0.805

11.
! HoZnInS3 (GGA-PBE, relaxed); values from VASP
! - SG = No. 11
! - excess energy over the best structure of this formula in the dataset (kJ/mol of atoms) = 7.0
&SYSTEM
  ibrav = 0, nat = 12, ntyp = 4
/
ATOMIC_SPECIES
Ho 164.93 Ho.upf
In 114.82 In.upf
S 32.06 S.upf
Zn 65.41 Zn.upf
CELL_PARAMETERS angstrom
3.985 0.000 0.000
0.000 10.260 0.000
-1.979 0.000 7.213
ATOMIC_POSITIONS crystal
Ho 0.000 0.000 0.000
Ho 0.000 0.500 0.000
In 0.678 0.750 0.370
In 0.322 0.250 0.630
S 0.048 0.750 0.120
S 0.627 0.040 0.252
S 0.627 0.460 0.252
S 0.373 0.540 0.748
S 0.373 0.960 0.748
S 0.952 0.250 0.880
Zn 0.611 0.250 0.323
Zn 0.389 0.750 0.677

12.
! HoZnInS3 (GGA-PBE, relaxed); values from VASP
! - SG = No. 63
! - excess energy over the best structure of this formula in the dataset (kJ/mol of atoms) = 0.0
&SYSTEM
  ibrav = 0, nat = 12, ntyp = 4
/
ATOMIC_SPECIES
Ho 164.93 Ho.upf
In 114.82 In.upf
S 32.06 S.upf
Zn 65.41 Zn.upf
CELL_PARAMETERS angstrom
1.129 5.272 4.923
-2.353 6.091 3.268
-4.827 -5.779 7.296
ATOMIC_POSITIONS crystal
Ho 0.000 0.000 0.000
Ho 0.000 0.000 0.500
In 0.746 0.746 0.250
In 0.254 0.254 0.750
S 0.373 0.373 0.062
S 0.061 0.061 0.250
S 0.373 0.373 0.438
S 0.627 0.627 0.562
S 0.939 0.939 0.750
S 0.627 0.627 0.938
Zn 0.459 0.459 0.250
Zn 0.541 0.541 0.750

13.
! HoScIn (GGA-PBE, relaxed); values from VASP
! - SG = No. 194
! - excess energy over the best structure of this formula in the dataset (kJ/mol of atoms) = 2.9
&SYSTEM
  ibrav = 0, nat = 6, ntyp = 3
/
ATOMIC_SPECIES
Ho 164.93 Ho.upf
In 114.82 In.upf
Sc 44.96 Sc.upf
CELL_PARAMETERS angstrom
-0.021 -2.593 4.539
1.965 -2.254 -4.288
5.813 2.404 1.400
ATOMIC_POSITIONS crystal
Ho 0.667 0.333 0.250
Ho 0.333 0.667 0.750
In 0.333 0.667 0.250
In 0.667 0.333 0.750
Sc 0.000 0.000 0.000
Sc 0.000 0.000 0.500

14.
! HoScIn (GGA-PBE, relaxed); values from VASP
! - SG = No. 216
! - excess energy over the best structure of this formula in the dataset (kJ/mol of atoms) = 75.4
&SYSTEM
  ibrav = 0, nat = 3, ntyp = 3
/
ATOMIC_SPECIES
Ho 164.93 Ho.upf
In 114.82 In.upf
Sc 44.96 Sc.upf
CELL_PARAMETERS angstrom
0.000 3.566 3.566
3.566 0.000 3.566
3.566 3.566 0.000
ATOMIC_POSITIONS crystal
Ho 0.000 0.000 0.000
In 0.250 0.250 0.250
Sc 0.750 0.750 0.750

15.
! HoScIn (GGA-PBE, relaxed); values from VASP
! - SG = No. 194
! - excess energy over the best structure of this formula in the dataset (kJ/mol of atoms) = 0.0
&SYSTEM
  ibrav = 0, nat = 6, ntyp = 3
/
ATOMIC_SPECIES
Ho 164.93 Ho.upf
In 114.82 In.upf
Sc 44.96 Sc.upf
CELL_PARAMETERS angstrom
-4.266 -1.924 -2.192
2.213 -2.477 3.959
-3.704 3.416 4.208
ATOMIC_POSITIONS crystal
Ho 0.000 0.000 0.000
Ho 0.000 0.000 0.500
In 0.667 0.333 0.250
In 0.333 0.667 0.750
Sc 0.333 0.667 0.250
Sc 0.667 0.333 0.750

16.
! HoScIn (GGA-PBE, relaxed); values from VASP
! - SG = No. 216
! - excess energy over the best structure of this formula in the dataset (kJ/mol of atoms) = 29.9
&SYSTEM
  ibrav = 0, nat = 3, ntyp = 3
/
ATOMIC_SPECIES
Ho 164.93 Ho.upf
In 114.82 In.upf
Sc 44.96 Sc.upf
CELL_PARAMETERS angstrom
-3.978 1.092 2.842
-4.406 1.034 -2.148
-3.789 -3.257 0.363
ATOMIC_POSITIONS crystal
Ho 0.250 0.250 0.250
In 0.000 0.000 0.000
Sc 0.750 0.750 0.750

17.
! SmHo2ScIn2 (GGA-PBE, relaxed); values from VASP
! - SG = No. 187
&SYSTEM
  ibrav = 0, nat = 6, ntyp = 4
/
ATOMIC_SPECIES
Ho 164.93 Ho.upf
In 114.82 In.upf
Sc 44.96 Sc.upf
Sm 150.36 Sm.upf
CELL_PARAMETERS angstrom
5.297 0.000 0.000
-2.649 4.588 0.000
0.000 0.000 6.669
ATOMIC_POSITIONS crystal
Ho 0.667 0.333 0.239
Ho 0.667 0.333 0.761
In 0.000 0.000 0.000
In 0.333 0.667 0.500
Sc 0.333 0.667 0.000
Sm 0.000 0.000 0.500

18.
! HoTmSc2In2 (GGA-PBE, relaxed); values from VASP
! - SG = No. 164
&SYSTEM
  ibrav = 0, nat = 6, ntyp = 4
/
ATOMIC_SPECIES
Ho 164.93 Ho.upf
In 114.82 In.upf
Sc 44.96 Sc.upf
Tm 168.93 Tm.upf
CELL_PARAMETERS angstrom
-2.369 2.383 3.915
-2.349 -0.403 -4.576
-2.642 -5.673 1.856
ATOMIC_POSITIONS crystal
Ho 0.000 0.000 0.000
In 0.333 0.667 0.250
In 0.667 0.333 0.750
Sc 0.667 0.333 0.250
Sc 0.333 0.667 0.750
Tm 0.000 0.000 0.500

19.
! HoZnInSe3 (GGA-PBE, relaxed); values from VASP
! - SG = No. 62
! - excess energy over the best structure of this formula in the dataset (kJ/mol of atoms) = 5.9
&SYSTEM
  ibrav = 0, nat = 24, ntyp = 4
/
ATOMIC_SPECIES
Ho 164.93 Ho.upf
In 114.82 In.upf
Se 78.96 Se.upf
Zn 65.41 Zn.upf
CELL_PARAMETERS angstrom
-6.909 6.582 6.681
-0.416 -3.206 2.729
9.905 4.043 6.260
ATOMIC_POSITIONS crystal
Ho 0.979 0.750 0.179
Ho 0.479 0.750 0.321
Ho 0.521 0.250 0.679
Ho 0.021 0.250 0.821
In 0.672 0.250 0.003
In 0.172 0.250 0.497
In 0.828 0.750 0.503
In 0.328 0.750 0.997
Se 0.097 0.250 0.064
Se 0.461 0.250 0.161
Se 0.727 0.750 0.192
Se 0.227 0.750 0.308
Se 0.961 0.250 0.339
Se 0.597 0.250 0.436
Se 0.403 0.750 0.564
Se 0.039 0.750 0.661
Se 0.773 0.250 0.692
Se 0.273 0.250 0.808
Se 0.539 0.750 0.839
Se 0.903 0.750 0.936
Zn 0.253 0.250 0.198
Zn 0.753 0.250 0.302
Zn 0.247 0.750 0.698
Zn 0.747 0.750 0.802

Total DFT energy (no corrections) list, top to bottom, in eV per atom: -5.8318; -5.1345; -4.7336; -5.6159; -6.0597; -4.2865; -3.8451; -5.0772; -5.8013; -4.6063; -4.5797; -4.6520; -4.8891; -4.1386; -4.9196; -4.6100; -4.6229; -4.8998; -4.1852
Total moment list, top to bottom, in μB/f.u.: 0.0; 0.0; 0.0; 0.0; 0.0; 0.0; 0.0; 0.0; 0.0; 0.0; 0.0; 0.0; 0.7; 0.0; 0.0; 0.2; 1.3; 0.0; 0.0